Entry 1:
## Rb2Cr2I7 (GGA-PBE)

Data for a relaxed Rb2Cr2I7 crystal.

Calculated values
Magnetization   7.0 μB/f.u.

a b c (Å): 9.727 9.727 7.325
angles (deg): 96.43 96.43 125.18
Fractional positions:
Rb1 0.197 0.803 0.000
Rb2 0.803 0.197 0.000
Cr1 0.226 0.226 0.626
Cr2 0.774 0.774 0.374
I1 0.049 0.049 0.261
I2 0.109 0.413 0.702
I3 0.413 0.109 0.702
I4 0.500 0.500 0.500
I5 0.587 0.891 0.298
I6 0.891 0.587 0.298
I7 0.951 0.951 0.739


Entry 2:
## Rb3CrI6 (GGA-PBE)

Data for a relaxed Rb3CrI6 crystal.

Calculated values
Polymorph energy (0 for the lowest one)   21 meV per atom
Magnetization   3.0 μB/f.u.

a b c (Å): 9.994 9.994 9.994
angles (deg): 89.45 89.45 89.45
Fractional positions:
Rb1 0.062 0.576 0.735
Rb2 0.265 0.938 0.424
Rb3 0.424 0.265 0.938
Rb4 0.576 0.735 0.062
Rb5 0.735 0.062 0.576
Rb6 0.938 0.424 0.265
Cr1 0.000 0.000 0.000
Cr2 0.500 0.500 0.500
I1 0.048 0.947 0.731
I2 0.053 0.269 0.952
I3 0.246 0.569 0.408
I4 0.269 0.952 0.053
I5 0.408 0.246 0.569
I6 0.431 0.592 0.754
I7 0.569 0.408 0.246
I8 0.592 0.754 0.431
I9 0.731 0.048 0.947
I10 0.754 0.431 0.592
I11 0.947 0.731 0.048
I12 0.952 0.053 0.269


Number 1: total energy -3.5717 eV per atom, formation energy (no corrections) -0.6596 eV per atom. Number 2: total energy -3.2021 eV per atom, formation energy (no corrections) -1.0194 eV per atom.